Rb7I2O2 | PBE | optimized geometry

```
data_Rb7I2O2
_cell_length_a 9.335
_cell_length_b 11.499
_cell_length_c 8.537
_cell_angle_alpha 90.00
_cell_angle_beta 90.00
_cell_angle_gamma 90.00
_space_group_name_H-M_alt 'C m m m'
_space_group_IT_number 65
_space_group_name_Hall '-C 2 2'
loop_
_atom_site_label
_atom_site_type_symbol
_atom_site_fract_x
_atom_site_fract_y
_atom_site_fract_z
Rb1 Rb 0.000 0.000 0.000
Rb2 Rb 0.000 0.500 0.193
Rb3 Rb 0.250 0.250 0.204
I1 I 0.230 0.000 0.500
O1 O 0.000 0.291 0.000
```

Properties
ΔE_f (raw)	-0.9569	eV/atom
DOS(E_F)	4.4	states/eV per cell
relative energy among the computed polymorphs	62	kJ/mol of formula units

Li2Ca2Y | PBE | optimized geometry

```
data_Li2Ca2Y
_cell_length_a 8.651
_cell_length_b 8.651
_cell_length_c 4.182
_cell_angle_alpha 90.00
_cell_angle_beta 90.00
_cell_angle_gamma 90.00
_space_group_name_H-M_alt 'P 4/m b m'
_space_group_IT_number 127
_space_group_name_Hall '-P 4 2ab'
loop_
_atom_site_label
_atom_site_type_symbol
_atom_site_fract_x
_atom_site_fract_y
_atom_site_fract_z
Li1 Li 0.123 0.377 0.000
Ca1 Ca 0.175 0.675 0.500
Y1 Y 0.000 0.000 0.000
```

Properties
DOS(E_F)	15.5	states/eV per cell
relative energy among the computed polymorphs	0	kJ/mol of formula units

NiHSe2 | PBE | optimized geometry

```
data_NiHSe2
_cell_length_a 9.939
_cell_length_b 3.441
_cell_length_c 9.534
_cell_angle_alpha 90.00
_cell_angle_beta 90.00
_cell_angle_gamma 90.00
_space_group_name_H-M_alt 'P n m a'
_space_group_IT_number 62
_space_group_name_Hall '-P 2ac 2n'
loop_
_atom_site_label
_atom_site_type_symbol
_atom_site_fract_x
_atom_site_fract_y
_atom_site_fract_z
Ni1 Ni 0.053 0.250 0.129
H1 H 0.126 0.750 0.368
Se1 Se 0.006 0.250 0.708
Se2 Se 0.156 0.750 0.006
```

Properties
DOS(E_F)	6.2	states/eV per cell
relative energy among the computed polymorphs	5	kJ/mol of formula units

CrCo4Ni8 | PBE | optimized geometry

```
data_CrCo4Ni8
_cell_length_a 5.477
_cell_length_b 5.477
_cell_length_c 5.477
_cell_angle_alpha 90.00
_cell_angle_beta 90.00
_cell_angle_gamma 90.00
_space_group_name_H-M_alt 'P m -3 m'
_space_group_IT_number 221
_space_group_name_Hall '-P 4 2 3'
loop_
_atom_site_label
_atom_site_type_symbol
_atom_site_fract_x
_atom_site_fract_y
_atom_site_fract_z
Cr1 Cr 0.000 0.000 0.000
Co1 Co 0.000 0.000 0.500
Co2 Co 0.500 0.500 0.500
Ni1 Ni 0.259 0.259 0.259
```

Properties
DOS(E_F)	30.0	states/eV per cell
uncorrected energy	-78.7	eV/f.u.

PuTh4 | PBE | optimized geometry

```
data_PuTh4
_cell_length_a 5.552
_cell_length_b 5.552
_cell_length_c 5.552
_cell_angle_alpha 90.00
_cell_angle_beta 90.00
_cell_angle_gamma 90.00
_space_group_name_H-M_alt 'P m -3 m'
_space_group_IT_number 221
_space_group_name_Hall '-P 4 2 3'
loop_
_atom_site_label
_atom_site_type_symbol
_atom_site_fract_x
_atom_site_fract_y
_atom_site_fract_z
Pu1 Pu 0.000 0.000 0.000
Th1 Th 0.000 0.000 0.500
Th2 Th 0.500 0.500 0.500
```

Properties
DOS(E_F)	5.7	states/eV per cell
uncorrected energy	-41.5	eV/f.u.

Li3ScAg | PBE | optimized geometry

```
data_Li3ScAg
_cell_length_a 4.772
_cell_length_b 4.772
_cell_length_c 4.772
_cell_angle_alpha 90.00
_cell_angle_beta 90.00
_cell_angle_gamma 90.00
_space_group_name_H-M_alt 'P m -3 m'
_space_group_IT_number 221
_space_group_name_Hall '-P 4 2 3'
loop_
_atom_site_label
_atom_site_type_symbol
_atom_site_fract_x
_atom_site_fract_y
_atom_site_fract_z
Li1 Li 0.000 0.000 0.500
Sc1 Sc 0.500 0.500 0.500
Ag1 Ag 0.000 0.000 0.000
```

Properties
DOS(E_F)	4.7	states/eV per cell
relative energy among the computed polymorphs	0	kJ/mol of formula units

Nd2In6PdPt | PBE | optimized geometry

```
data_Nd2In6PdPt
_cell_length_a 10.296
_cell_length_b 10.296
_cell_length_c 10.296
_cell_angle_alpha 90.00
_cell_angle_beta 90.00
_cell_angle_gamma 90.00
_space_group_name_H-M_alt 'F m -3 m'
_space_group_IT_number 225
_space_group_name_Hall '-F 4 2 3'
loop_
_atom_site_label
_atom_site_type_symbol
_atom_site_fract_x
_atom_site_fract_y
_atom_site_fract_z
Nd1 Nd 0.250 0.250 0.250
In1 In 0.000 0.000 0.249
Pd1 Pd 0.000 0.000 0.000
Pt1 Pt 0.000 0.000 0.500
```

Properties
DOS(E_F)	23.6	states/eV per cell
uncorrected energy	-39.5	eV/f.u.

LiOsRh2 | PBE | optimized geometry

```
data_LiOsRh2
_cell_length_a 2.730
_cell_length_b 4.580
_cell_length_c 9.109
_cell_angle_alpha 90.00
_cell_angle_beta 90.00
_cell_angle_gamma 90.00
_space_group_name_H-M_alt 'C m m 2'
_space_group_IT_number 35
_space_group_name_Hall 'C 2 -2'
loop_
_atom_site_label
_atom_site_type_symbol
_atom_site_fract_x
_atom_site_fract_y
_atom_site_fract_z
Li1 Li 0.000 0.000 0.000
Os1 Os 0.000 0.500 0.745
Rh1 Rh 0.000 0.000 0.496
Rh2 Rh 0.000 0.500 0.241
```

Properties
DOS(E_F)	10.8	states/eV per cell
relative energy among the computed polymorphs	92	kJ/mol of formula units

AlGaNi4 | PBE | optimized geometry

```
data_AlGaNi4
_cell_length_a 8.530
_cell_length_b 2.666
_cell_length_c 6.749
_cell_angle_alpha 90.00
_cell_angle_beta 113.24
_cell_angle_gamma 90.00
_space_group_name_H-M_alt 'C 1 2/m 1'
_space_group_IT_number 12
_space_group_name_Hall '-C 2y'
loop_
_atom_site_label
_atom_site_type_symbol
_atom_site_fract_x
_atom_site_fract_y
_atom_site_fract_z
Al1 Al 0.000 0.000 0.000
Ga1 Ga 0.000 0.000 0.500
Ni1 Ni 0.164 0.500 0.331
Ni2 Ni 0.165 0.500 0.834
```

Properties
DOS(E_F)	7.8	states/eV per cell
uncorrected energy	-32.1	eV/f.u.

NaGaPb6 | PBE | optimized geometry

```
data_NaGaPb6
_cell_length_a 4.873
_cell_length_b 4.873
_cell_length_c 9.993
_cell_angle_alpha 90.00
_cell_angle_beta 90.00
_cell_angle_gamma 90.00
_space_group_name_H-M_alt 'P 4/m m m'
_space_group_IT_number 123
_space_group_name_Hall '-P 4 2'
loop_
_atom_site_label
_atom_site_type_symbol
_atom_site_fract_x
_atom_site_fract_y
_atom_site_fract_z
Na1 Na 0.000 0.000 0.000
Ga1 Ga 0.000 0.000 0.500
Pb1 Pb 0.000 0.500 0.255
Pb2 Pb 0.500 0.500 0.000
Pb3 Pb 0.500 0.500 0.500
```

Properties
DOS(E_F)	4.8	states/eV per cell
relative energy among the computed polymorphs	0	kJ/mol of formula units

FeAs2W | PBE | optimized geometry

```
data_FeAs2W
_cell_length_a 4.294
_cell_length_b 4.294
_cell_length_c 3.080
_cell_angle_alpha 90.00
_cell_angle_beta 90.00
_cell_angle_gamma 90.00
_space_group_name_H-M_alt 'P 4/m m m'
_space_group_IT_number 123
_space_group_name_Hall '-P 4 2'
loop_
_atom_site_label
_atom_site_type_symbol
_atom_site_fract_x
_atom_site_fract_y
_atom_site_fract_z
Fe1 Fe 0.000 0.000 0.000
As1 As 0.000 0.500 0.500
W1 W 0.500 0.500 0.000
```

Properties
DOS(E_F)	2.9	states/eV per cell
relative energy among the computed polymorphs	66	kJ/mol of formula units

Li2ReBiH | PBE | optimized geometry

```
data_Li2ReBiH
_cell_length_a 3.961
_cell_length_b 3.961
_cell_length_c 4.736
_cell_angle_alpha 90.00
_cell_angle_beta 90.00
_cell_angle_gamma 90.00
_space_group_name_H-M_alt 'P 4/m m m'
_space_group_IT_number 123
_space_group_name_Hall '-P 4 2'
loop_
_atom_site_label
_atom_site_type_symbol
_atom_site_fract_x
_atom_site_fract_y
_atom_site_fract_z
Li1 Li 0.000 0.500 0.000
Re1 Re 0.000 0.000 0.500
Bi1 Bi 0.500 0.500 0.500
H1 H 0.500 0.500 0.000
```

Properties
DOS(E_F)	1.6	states/eV per cell
uncorrected energy	-20.9	eV/f.u.

Listing M_tot for the structures above in their given order: 0.30, 0.00, 0.00, 14.88, 5.46, 0.88, 0.00, 0.10, 0.00, 0.00, 0.00, 1.07 μB/f.u..